VASP calculation (PBE-GGA) on an optimized crystal structure of TlAg8S6.

Cell lengths 7.867, 7.726, 10.763 Å; angles 90.00, 90.00, 90.00 degrees
Fractional coordinates of all 30 atoms:
Tl: 0.000 0.248 0.000
Tl: 0.500 0.752 0.500
Ag: 0.000 0.616 0.516
Ag: 0.000 0.692 0.957
Ag: 0.197 0.107 0.363
Ag: 0.209 0.530 0.752
Ag: 0.236 0.163 0.634
Ag: 0.264 0.837 0.134
Ag: 0.291 0.470 0.252
Ag: 0.303 0.893 0.863
Ag: 0.500 0.308 0.457
Ag: 0.500 0.384 0.016
Ag: 0.697 0.893 0.863
Ag: 0.709 0.470 0.252
Ag: 0.736 0.837 0.134
Ag: 0.764 0.163 0.634
Ag: 0.791 0.530 0.752
Ag: 0.803 0.107 0.363
S: 0.000 0.011 0.167
S: 0.000 0.281 0.513
S: 0.000 0.511 0.143
S: 0.000 0.783 0.741
S: 0.231 0.760 0.376
S: 0.269 0.240 0.876
S: 0.500 0.217 0.241
S: 0.500 0.489 0.643
S: 0.500 0.719 0.013
S: 0.500 0.989 0.667
S: 0.731 0.240 0.876
S: 0.769 0.760 0.376

Formation energy from raw total energies   -14 kJ/mol of formula units
Uncorrected energy   -0.123 Ha/atom
Magnetization   0.00 μB per formula unit